RbMgO2F | PBE-GGA | optimized geometry

Values from the calculation:
* uncorrected formation energy: 0.337 eV per atom
* VASP energy: -0.0931 Ha/atom

```
5
Lattice="4.270 0.000 0.000 0.000 7.321 0.000 0.000 0.000 4.270" Properties=species:S:1:pos:R:3 pbc="T T T"
Mg 0.000 3.661 0.000
O 0.000 0.000 2.135
Rb 0.000 0.000 0.000
O 2.135 0.000 0.000
F 2.135 3.661 2.135
```

MgRhO2F | PBE-GGA | optimized geometry

Values from the calculation:
* uncorrected formation energy: -0.840 eV per atom
* VASP energy: -0.1832 Ha/atom

```
5
Lattice="3.952 0.000 0.000 0.000 3.952 0.000 0.000 0.000 3.631" Properties=species:S:1:pos:R:3 pbc="T T T"
F 0.000 0.000 1.815
Mg 0.000 0.000 0.000
O 1.976 0.000 0.000
Rh 1.976 1.976 1.815
O 0.000 1.976 0.000
```

MgRhO2F | PBE-GGA | optimized geometry

Values from the calculation:
* uncorrected formation energy: -0.968 eV per atom
* VASP energy: -0.1880 Ha/atom

```
5
Lattice="3.970 0.000 0.000 0.000 3.970 0.000 0.000 0.000 4.048" Properties=species:S:1:pos:R:3 pbc="T T T"
Mg 1.985 1.985 2.024
F 0.000 0.000 2.024
Rh 0.000 0.000 0.000
O 1.985 0.000 0.000
O 0.000 1.985 0.000
```